# Zn2P3

A relaxed structure of Zn2P3 (PBE-GGA, the Alexandria database).

Cell: 3.8472 3.8472 7.6198 Å, 90.00 90.00 120.00°
Closest atoms and distances in Å follow each position.
Fractional coordinates of all 5 atoms:
Zn 0.3333 0.6667 0.8595  4 P 2.38-2.47
P 0.3333 0.6667 0.5468  3 P 2.33, 1 Zn 2.38
P 0.0000 0.0000 0.0000  6 Zn 2.47
Zn 0.6667 0.3333 0.1405  4 P 2.38-2.47
P 0.6667 0.3333 0.4532  3 P 2.33, 1 Zn 2.38

Values from the calculation:
relative energy among the computed polymorphs	0	meV per atom
E_form	0.05	eV/atom